{
  "formula": "KTe2Se",
  "functional": "SCAN",
  "state": "single point on PBEsol structure",
  "final_energy_ev_per_cell": -103.22,
  "dos_at_fermi_per_ev_atom": 0.489,
  "spacegroup": "P4/mmm",
  "crystal_system": "tetragonal",
  "lattice": [[3.047, 0.000, 0.000], [0.000, 3.047, 0.000], [0.000, 0.000, 12.433]],
  "species": ["K", "Te", "Te", "Se"],
  "frac_coords": [[0.000, 0.000, 0.000], [0.500, 0.500, 0.222], [0.500, 0.500, 0.778], [0.000, 0.000, 0.500]]
}

=====

{
  "formula": "HfH2Br",
  "functional": "SCAN",
  "state": "single point on PBEsol structure",
  "final_energy_ev_per_cell": -179.75,
  "dos_at_fermi_per_ev_atom": 0.416,
  "spacegroup": "I4_1/amd",
  "crystal_system": "tetragonal",
  "lattice": [[-1.998, 1.998, 6.492], [1.998, -1.998, 6.492], [1.998, 1.998, -6.492]],
  "species": ["Hf", "Hf", "H", "H", "H", "H", "Br", "Br"],
  "frac_coords": [[0.375, 0.625, 0.750], [0.625, 0.375, 0.250], [0.000, 0.500, 0.500], [0.500, 0.000, 0.000], [0.500, 0.500, 0.000], [0.500, 0.500, 0.500], [0.125, 0.875, 0.250], [0.875, 0.125, 0.750]]
}

=====

{
  "formula": "Zn2Pb",
  "functional": "SCAN",
  "state": "single point on PBEsol structure",
  "ef_ev_per_atom": 0.23,
  "dos_at_fermi_per_ev_atom": 0.402,
  "spacegroup": "Immm",
  "crystal_system": "orthorhombic",
  "lattice": [[-1.594, 1.718, 5.512], [1.594, -1.718, 5.512], [1.594, 1.718, -5.512]],
  "species": ["Zn", "Zn", "Pb"],
  "frac_coords": [[0.197, 0.197, 0.000], [0.803, 0.803, 0.000], [0.500, 0.500, 0.000]]
}

=====

{
  "formula": "TiGeC2",
  "functional": "SCAN",
  "state": "single point on PBEsol structure",
  "ef_ev_per_atom": 0.21,
  "spacegroup": "I-42d",
  "crystal_system": "tetragonal",
  "lattice": [[-2.351, 2.351, 4.531], [2.351, -2.351, 4.531], [2.351, 2.351, -4.531]],
  "species": ["Ti", "Ti", "Ge", "Ge", "C", "C", "C", "C"],
  "frac_coords": [[0.000, 0.000, 0.000], [0.750, 0.250, 0.500], [0.250, 0.750, 0.500], [0.500, 0.500, 0.000], [0.134, 0.625, 0.009], [0.375, 0.384, 0.509], [0.616, 0.125, 0.991], [0.875, 0.866, 0.491]]
}